(1)
Below is Pr2YIn4 after structural relaxation, with properties calculated at the PBE level.

Computed properties:
- crystal system = tetragonal
- energy of formation from the pure elements (eV/atom) = 0.104
- relative energy among the computed polymorphs (eV per formula unit) = 3.06

The structure in CIF format:
```
data_Pr2YIn4
_chemical_formula_sum 'Pr4 Y2 In8'
_space_group_name_H-M_alt 'I 4/m m m'
_space_group_IT_number 139
_space_group_name_Hall '-I 4 2'
_cell_length_a 5.6467
_cell_length_b 5.6467
_cell_length_c 16.2464
_cell_angle_alpha 90.00
_cell_angle_beta 90.00
_cell_angle_gamma 90.00
loop_
_atom_site_label
_atom_site_type_symbol
_atom_site_fract_x
_atom_site_fract_y
_atom_site_fract_z
_atom_site_occupancy
Pr1 Pr 0.0000 0.0000 0.1122 1
Y1 Y 0.0000 0.0000 0.5000 1
In1 In 0.0000 0.0000 0.3129 1
In2 In 0.0000 0.5000 0.0000 1
```

***

(2)
Below is NdHBr after structural relaxation, with properties calculated at the PBE level.

Computed properties:
- calculated total energy (eV/atom) = -4.1962
- crystal system = trigonal

The structure in CIF format:
```
data_NdHBr
_chemical_formula_sum 'Nd3 H3 Br3'
_space_group_name_H-M_alt 'R 3 m'
_space_group_IT_number 160
_space_group_name_Hall 'R 3 -2"'
_cell_length_a 3.8251
_cell_length_b 3.8251
_cell_length_c 15.6664
_cell_angle_alpha 90.00
_cell_angle_beta 90.00
_cell_angle_gamma 120.00
loop_
_atom_site_label
_atom_site_type_symbol
_atom_site_fract_x
_atom_site_fract_y
_atom_site_fract_z
_atom_site_occupancy
Nd1 Nd 0.0000 0.0000 0.0000 1
H1 H 0.0000 0.0000 0.7147 1
Br1 Br 0.0000 0.0000 0.5306 1
```

***

(3)
Below is PaRuRh after structural relaxation, with properties calculated at the PBE level.

Computed properties:
- crystal system = hexagonal
- energy of formation from the pure elements (eV/atom) = -0.656
- relative energy among the computed polymorphs (eV per formula unit) = 0.00

The structure in CIF format:
```
data_PaRuRh
_chemical_formula_sum 'Pa2 Ru2 Rh2'
_space_group_name_H-M_alt 'P 63/m m c'
_space_group_IT_number 194
_space_group_name_Hall '-P 6c 2c'
_cell_length_a 4.6149
_cell_length_b 4.6149
_cell_length_c 5.7930
_cell_angle_alpha 90.00
_cell_angle_beta 90.00
_cell_angle_gamma 120.00
loop_
_atom_site_label
_atom_site_type_symbol
_atom_site_fract_x
_atom_site_fract_y
_atom_site_fract_z
_atom_site_occupancy
Pa1 Pa 0.3333 0.6667 0.2500 1
Ru1 Ru 0.3333 0.6667 0.7500 1
Rh1 Rh 0.0000 0.0000 0.0000 1
```

***

(4)
Below is SrSc2MnOs after structural relaxation, with properties calculated at the PBE level.

Computed properties:
- crystal system = tetragonal
- energy of formation from the pure elements (eV/atom) = 2.139

The structure in CIF format:
```
data_SrSc2MnOs
_chemical_formula_sum 'Sr1 Sc2 Mn1 Os1'
_space_group_name_H-M_alt 'P 4/m m m'
_space_group_IT_number 123
_space_group_name_Hall '-P 4 2'
_cell_length_a 4.9076
_cell_length_b 4.9076
_cell_length_c 4.2020
_cell_angle_alpha 90.00
_cell_angle_beta 90.00
_cell_angle_gamma 90.00
loop_
_atom_site_label
_atom_site_type_symbol
_atom_site_fract_x
_atom_site_fract_y
_atom_site_fract_z
_atom_site_occupancy
Sr1 Sr 0.0000 0.0000 0.0000 1
Sc1 Sc 0.0000 0.5000 0.0000 1
Mn1 Mn 0.0000 0.0000 0.5000 1
Os1 Os 0.5000 0.5000 0.5000 1
```

***

(5)
Below is CsTi5Cl12 after structural relaxation, with properties calculated at the PBE level.

Computed properties:
- crystal system = orthorhombic
- formation energy from raw total energies (eV/atom) = -1.41

The structure in CIF format:
```
data_CsTi5Cl12
_chemical_formula_sum 'Cs2 Ti10 Cl24'
_space_group_name_H-M_alt 'I m m m'
_space_group_IT_number 71
_space_group_name_Hall '-I 2 2'
_cell_length_a 9.6805
_cell_length_b 9.9014
_cell_length_c 9.9102
_cell_angle_alpha 90.00
_cell_angle_beta 90.00
_cell_angle_gamma 90.00
loop_
_atom_site_label
_atom_site_type_symbol
_atom_site_fract_x
_atom_site_fract_y
_atom_site_fract_z
_atom_site_occupancy
Cs1 Cs 0.0000 0.0000 0.0000 1
Ti1 Ti 0.0000 0.1350 0.5000 1
Ti2 Ti 0.0000 0.5000 0.5000 1
Ti3 Ti 0.1322 0.5000 0.0000 1
Cl1 Cl 0.0000 0.3480 0.1530 1
Cl2 Cl 0.1592 0.0000 0.3446 1
Cl3 Cl 0.1726 0.3194 0.5000 1
```

***

(6)
Below is Er2TmInC after structural relaxation, with properties calculated at the PBE level.

Computed properties:
- crystal system = tetragonal
- energy of formation from the pure elements (eV/atom) = -0.545

The structure in CIF format:
```
data_Er2TmInC
_chemical_formula_sum 'Er2 Tm1 In1 C1'
_space_group_name_H-M_alt 'P 4/m m m'
_space_group_IT_number 123
_space_group_name_Hall '-P 4 2'
_cell_length_a 4.8663
_cell_length_b 4.8663
_cell_length_c 4.8382
_cell_angle_alpha 90.00
_cell_angle_beta 90.00
_cell_angle_gamma 90.00
loop_
_atom_site_label
_atom_site_type_symbol
_atom_site_fract_x
_atom_site_fract_y
_atom_site_fract_z
_atom_site_occupancy
Er1 Er 0.0000 0.5000 0.0000 1
Tm1 Tm 0.0000 0.0000 0.5000 1
In1 In 0.5000 0.5000 0.5000 1
C1 C 0.0000 0.0000 0.0000 1
```

***

(7)
Below is Ce3GaCo3 after structural relaxation, with properties calculated at the PBE level.

Computed properties:
- crystal system = orthorhombic
- energy of formation from the pure elements (eV/atom) = -0.340
- relative energy among the computed polymorphs (eV per formula unit) = 0.00

The structure in CIF format:
```
data_Ce3GaCo3
_chemical_formula_sum 'Ce12 Ga4 Co12'
_space_group_name_H-M_alt 'C m c m'
_space_group_IT_number 63
_space_group_name_Hall '-C 2c 2'
_cell_length_a 4.3486
_cell_length_b 8.6495
_cell_length_c 13.9242
_cell_angle_alpha 90.00
_cell_angle_beta 90.00
_cell_angle_gamma 90.00
loop_
_atom_site_label
_atom_site_type_symbol
_atom_site_fract_x
_atom_site_fract_y
_atom_site_fract_z
_atom_site_occupancy
Ce1 Ce 0.0000 0.0049 0.2500 1
Ce2 Ce 0.0000 0.2980 0.1088 1
Ga1 Ga 0.0000 0.0000 0.0000 1
Co1 Co 0.0000 0.2599 0.7500 1
Co2 Co 0.0000 0.4389 0.5880 1
```

***

(8)
Below is Te2SeIO after structural relaxation, with properties calculated at the PBE level.

Computed properties:
- crystal system = tetragonal
- formation energy from raw total energies (eV/atom) = 0.95
- relative energy among the computed polymorphs (eV per formula unit) = 3.25

The structure in CIF format:
```
data_Te2SeIO
_chemical_formula_sum 'Te2 Se1 I1 O1'
_space_group_name_H-M_alt 'P 4/m m m'
_space_group_IT_number 123
_space_group_name_Hall '-P 4 2'
_cell_length_a 5.5341
_cell_length_b 5.5341
_cell_length_c 5.7354
_cell_angle_alpha 90.00
_cell_angle_beta 90.00
_cell_angle_gamma 90.00
loop_
_atom_site_label
_atom_site_type_symbol
_atom_site_fract_x
_atom_site_fract_y
_atom_site_fract_z
_atom_site_occupancy
Te1 Te 0.0000 0.5000 0.0000 1
Se1 Se 0.0000 0.0000 0.0000 1
I1 I 0.0000 0.0000 0.5000 1
O1 O 0.5000 0.5000 0.5000 1
```

***

| no. | calculated volume (Å³ per cell) |
| --- | --- |
| 1 | 518.0 |
| 2 | 198.5 |
| 3 | 106.9 |
| 4 | 101.2 |
| 5 | 949.9 |
| 6 | 114.6 |
| 7 | 523.7 |
| 8 | 175.7 |